(1)
LiCa2La after structural relaxation, computed with PBE.

Summary:
Polymorph energy (0 for the lowest one), eV per atom: 0.046
Magnetic moment, μB/f.u.: 0.00
E_form, eV per atom: 0.1193
E, eV per atom: -2.592

```
data_LiCa2La
_cell_length_a 3.695
_cell_length_b 5.508
_cell_length_c 7.366
_cell_angle_alpha 90.00
_cell_angle_beta 104.52
_cell_angle_gamma 90.00
_space_group_name_H-M_alt 'P 1 m 1'
_space_group_IT_number 6
_space_group_name_Hall 'P -2y'
loop_
_atom_site_label
_atom_site_type_symbol
_atom_site_fract_x
_atom_site_fract_y
_atom_site_fract_z
Li1 Li 0.000 0.000 0.000
Ca1 Ca 0.119 0.500 0.260
Ca2 Ca 0.750 0.000 0.516
La1 La 0.392 0.500 0.792
```

***

(2)
Sb2H2S3 after structural relaxation, computed with PBE.

Summary:
Magnetic moment, μB/f.u.: 0.00
E, eV per atom: -3.830

```
data_Sb2H2S3
_cell_length_a 7.422
_cell_length_b 3.805
_cell_length_c 10.741
_cell_angle_alpha 90.00
_cell_angle_beta 91.32
_cell_angle_gamma 90.00
_space_group_name_H-M_alt 'C 1 2/m 1'
_space_group_IT_number 12
_space_group_name_Hall '-C 2y'
loop_
_atom_site_label
_atom_site_type_symbol
_atom_site_fract_x
_atom_site_fract_y
_atom_site_fract_z
Sb1 Sb 0.124 0.000 0.206
H1 H 0.170 0.500 0.906
S1 S 0.000 0.500 0.000
S2 S 0.235 0.000 0.663
```

***

(3)
Zr2Co17 after structural relaxation, computed with PBE.

Summary:
Magnetic moment, μB/f.u.: 23.71
E_form, eV per atom: -0.0944
E, eV per atom: -7.352

```
data_Zr2Co17
_cell_length_a 8.1789
_cell_length_b 8.1789
_cell_length_c 11.9582
_cell_angle_alpha 90.00
_cell_angle_beta 90.00
_cell_angle_gamma 120.00
_space_group_name_H-M_alt 'R -3 m'
_space_group_IT_number 166
_space_group_name_Hall '-R 3 2"'
loop_
_atom_site_label
_atom_site_type_symbol
_atom_site_fract_x
_atom_site_fract_y
_atom_site_fract_z
Zr1 Zr 0.0000 0.0000 0.1578
Co1 Co 0.0000 0.0000 0.4006
Co2 Co 0.0000 0.2936 0.5000
Co3 Co 0.0000 0.5000 0.0000
Co4 Co 0.0021 0.5010 0.6505
```

***

(4)
Tl2Se after structural relaxation, computed with PBE.

Summary:
Polymorph energy (0 for the lowest one), eV per atom: 0.006
Formation energy without anion corrections, meV/atom: -367
Magnetic moment, μB/f.u.: 0.00
E, eV per atom: -3.106

```
data_Tl2Se
_cell_length_a 4.326
_cell_length_b 13.423
_cell_length_c 7.177
_cell_angle_alpha 90.00
_cell_angle_beta 90.00
_cell_angle_gamma 90.00
_space_group_name_H-M_alt 'C m c 21'
_space_group_IT_number 36
_space_group_name_Hall 'C 2c -2'
loop_
_atom_site_label
_atom_site_type_symbol
_atom_site_fract_x
_atom_site_fract_y
_atom_site_fract_z
Tl1 Tl 0.000 0.104 0.000
Tl2 Tl 0.000 0.374 0.929
Se1 Se 0.000 0.277 0.304
```

***

(5)
Hf2ReNi after structural relaxation, computed with PBE.

Summary:
Polymorph energy (0 for the lowest one), eV per atom: 0.000
Magnetic moment, μB/f.u.: 0.00
E_form, eV per atom: -0.4362
E, eV per atom: -9.970

```
data_Hf2ReNi
_cell_length_a 3.274
_cell_length_b 3.274
_cell_length_c 6.329
_cell_angle_alpha 90.00
_cell_angle_beta 90.00
_cell_angle_gamma 90.00
_space_group_name_H-M_alt 'P 4/m m m'
_space_group_IT_number 123
_space_group_name_Hall '-P 4 2'
loop_
_atom_site_label
_atom_site_type_symbol
_atom_site_fract_x
_atom_site_fract_y
_atom_site_fract_z
Hf1 Hf 0.000 0.000 0.250
Re1 Re 0.500 0.500 0.000
Ni1 Ni 0.500 0.500 0.500
```

***

(6)
TePt2Se3 after structural relaxation, computed with PBE.

Summary:
Formation energy without anion corrections, meV/atom: -385
Magnetic moment, μB/f.u.: 0.00
E, eV per atom: -4.664

```
data_TePt2Se3
_cell_length_a 16.328
_cell_length_b 3.823
_cell_length_c 13.211
_cell_angle_alpha 90.00
_cell_angle_beta 127.57
_cell_angle_gamma 90.00
_space_group_name_H-M_alt 'C 1 2/m 1'
_space_group_IT_number 12
_space_group_name_Hall '-C 2y'
loop_
_atom_site_label
_atom_site_type_symbol
_atom_site_fract_x
_atom_site_fract_y
_atom_site_fract_z
Te1 Te 0.128 0.000 0.201
Pt1 Pt 0.241 0.000 0.116
Pt2 Pt 0.242 0.500 0.371
Se1 Se 0.147 0.500 0.958
Se2 Se 0.151 0.500 0.473
Se3 Se 0.163 0.000 0.726
```